No. 1
First-principles (meta-GGA SCAN) data for Ho2Te4O11 at its PBEsol-relaxed geometry, as listed in the Alexandria database.

Unit cell a=5.071 b=6.621 c=15.559 alpha=80.82 beta=80.62 gamma=67.48
Fractional positions:
Ho  0.867  0.798  0.963
Ho  0.629  0.702  0.537
Ho  0.133  0.202  0.037
Ho  0.371  0.298  0.463
O  0.190  0.867  0.630
O  0.686  0.633  0.870
O  0.810  0.133  0.370
O  0.314  0.367  0.130
O  0.662  0.031  0.553
O  0.246  0.469  0.947
O  0.338  0.969  0.447
O  0.754  0.531  0.053
O  0.961  0.320  0.545
O  0.826  0.180  0.955
O  0.039  0.680  0.455
O  0.174  0.820  0.045
O  0.399  0.451  0.596
O  0.446  0.049  0.904
O  0.601  0.549  0.404
O  0.554  0.951  0.096
O  0.784  0.636  0.670
O  0.089  0.864  0.830
O  0.216  0.364  0.330
O  0.911  0.136  0.170
O  0.136  0.250  0.750
O  0.864  0.750  0.250
Te  0.839  0.125  0.629
Te  0.592  0.375  0.871
Te  0.161  0.875  0.371
Te  0.408  0.625  0.129
Te  0.404  0.950  0.799
Te  0.153  0.550  0.701
Te  0.596  0.050  0.201
Te  0.847  0.450  0.299

Values from the calculation:
- Magnetic moment: 0.00 μB/f.u.
- N(E_F): 0.0 states/eV/f.u.
- Crystal system: monoclinic
- Energy: -20.595 eV per atom
- Symmetry: No. 15
- E_form (uncorrected): -2.0351 eV/atom
- Calculated density: 7129 kg/m3


No. 2
First-principles (meta-GGA SCAN) data for BeNb3Ga at its PBEsol-relaxed geometry, as listed in the Alexandria database.

Unit cell a=4.363 b=4.363 c=4.363 alpha=90.00 beta=90.00 gamma=90.00
Fractional positions:
Be  0.000  0.000  0.000
Nb  0.000  0.500  0.000
Nb  0.000  0.000  0.500
Nb  0.500  0.000  0.000
Ga  0.500  0.500  0.500

Values from the calculation:
- Magnetic moment: 0.00 μB/f.u.
- N(E_F): 1.2 states/eV/f.u.
- Crystal system: cubic
- Energy: -23.709 eV per atom
- Symmetry: No. 221
- Calculated density: 7144 kg/m3


No. 3
First-principles (meta-GGA SCAN) data for LiPb3 at its PBEsol-relaxed geometry, as listed in the Alexandria database.

Unit cell a=3.532 b=5.728 c=5.728 alpha=109.66 beta=90.00 gamma=90.00
Fractional positions:
Pb  0.500  0.000  0.500
Pb  0.500  0.500  0.000
Pb  0.000  0.500  0.500
Li  0.000  0.000  0.000

Values from the calculation:
- Magnetic moment: 0.00 μB/f.u.
- N(E_F): 1.4 states/eV/f.u.
- Crystal system: orthorhombic
- Energy: -57.596 eV per atom
- Symmetry: No. 65
- Calculated density: 9564 kg/m3


No. 4
First-principles (meta-GGA SCAN) data for Ho2TeO6 at its PBEsol-relaxed geometry, as listed in the Alexandria database.

Unit cell a=4.921 b=4.921 c=9.953 alpha=90.00 beta=90.00 gamma=90.00
Fractional positions:
Ho  0.500  0.500  0.334
Ho  0.500  0.500  0.666
Ho  0.000  0.000  0.166
Ho  0.000  0.000  0.834
Te  0.500  0.500  0.000
Te  0.000  0.000  0.500
O  0.684  0.684  0.147
O  0.684  0.684  0.853
O  0.720  0.720  0.500
O  0.780  0.220  0.000
O  0.816  0.184  0.353
O  0.816  0.184  0.647
O  0.184  0.816  0.353
O  0.184  0.816  0.647
O  0.220  0.780  0.000
O  0.280  0.280  0.500
O  0.316  0.316  0.147
O  0.316  0.316  0.853

Values from the calculation:
- Magnetic moment: 0.00 μB/f.u.
- N(E_F): 0.0 states/eV/f.u.
- Crystal system: tetragonal
- Energy: -21.943 eV per atom
- Relative energy among the computed polymorphs: 70 meV per atom
- Symmetry: No. 136
- E_form (uncorrected): -2.7634 eV/atom
- Calculated density: 7627 kg/m3